Entry 1:
PBE-GGA TeIrO6, optimized geometry; V = 12.0 A^3/atom; N(E_F) = 0.57 states/eV/atom; magnetization = 0.00 μB/f.u.
1.0
5.232 0.000 0.000
0.000 5.012 0.003
0.000 5.030 7.311
O Ir Te
12 2 2
Direct
0.825 0.107 0.068
0.540 0.387 0.746
0.679 0.734 0.933
0.040 0.613 0.754
0.325 0.893 0.432
0.179 0.266 0.567
0.175 0.893 0.932
0.821 0.734 0.433
0.460 0.613 0.254
0.960 0.387 0.246
0.321 0.266 0.067
0.675 0.107 0.568
0.500 0.500 0.500
0.000 0.500 0.000
0.000 0.000 0.500
0.500 0.000 0.000

***

Entry 2:
PBE-GGA TeIr3O, optimized geometry; V = 15.7 A^3/atom; N(E_F) = 1.38 states/eV/atom; magnetization = 1.29 μB/f.u.
1.0
-0.597 3.250 -2.725
-1.359 -2.753 -2.987
-4.018 0.448 1.415
O Te Ir
1 1 3
Direct
0.000 0.000 0.000
0.500 0.500 0.500
0.000 0.000 0.500
0.500 0.000 0.000
0.000 0.500 0.000

***

Entry 3:
PBE-GGA Tl2TeIrO6, optimized geometry; V = 15.8 A^3/atom; N(E_F) = 0.29 states/eV/atom; magnetization = 2.01 μB/f.u.
1.0
-4.386 0.602 -4.121
0.442 -2.836 -5.324
-5.996 -8.658 0.678
O Te Ir Tl
12 2 2 4
Direct
0.828 0.403 0.366
0.790 0.294 0.126
0.294 0.790 0.126
0.210 0.210 0.874
0.790 0.790 0.126
0.210 0.706 0.874
0.172 0.597 0.634
0.597 0.597 0.634
0.403 0.828 0.366
0.403 0.403 0.366
0.706 0.210 0.874
0.597 0.172 0.634
0.000 0.000 0.000
0.500 0.500 0.500
0.407 0.407 0.779
0.593 0.593 0.221
0.719 0.719 0.843
0.877 0.877 0.369
0.123 0.123 0.631
0.281 0.281 0.157

***

Entry 4:
PBE-GGA TlTeIrO6, optimized geometry; V = 14.9 A^3/atom; N(E_F) = 0.47 states/eV/atom; magnetization = 1.12 μB/f.u.
1.0
7.159 0.000 0.000
0.000 7.326 0.000
-3.579 -3.663 5.116
O Te Ir Tl
12 2 2 2
Direct
0.579 0.328 0.752
0.173 0.328 0.752
0.827 0.076 0.248
0.184 0.934 0.368
0.427 0.677 0.853
0.827 0.672 0.248
0.421 0.672 0.248
0.573 0.323 0.147
0.173 0.924 0.752
0.421 0.076 0.248
0.816 0.066 0.632
0.579 0.924 0.752
0.500 0.500 0.000
0.500 0.000 0.000
0.500 0.000 0.500
0.000 0.000 0.500
0.117 0.367 0.234
0.883 0.633 0.766

***

| no. | formation energy without anion corrections (meV/atom) |
| --- | --- |
| 1 | -589 |
| 2 | 953 |
| 3 | -681 |
| 4 | -813 |